1.
This record from the Alexandria database describes a relaxed structure of AcAg2BiSe4. The functional is PBE-GGA.

Results
magnetic moment = 0.00 μB per cell
volume = 27.849 Å³/atom
energy = -4.14 eV per atom

Structure (CIF):
```
data_AcAg2BiSe4
_chemical_formula_sum 'Ac1 Ag2 Bi1 Se4'
_space_group_name_H-M_alt 'P 1'
_space_group_IT_number 1
_cell_length_a 6.627
_cell_length_b 6.627
_cell_length_c 6.627
_cell_angle_alpha 112.70
_cell_angle_beta 111.32
_cell_angle_gamma 104.51
loop_
_space_group_symop_operation_xyz
'x,y,z'
loop_
_atom_site_label
_atom_site_type_symbol
_atom_site_fract_x
_atom_site_fract_y
_atom_site_fract_z
Ac1 Ac 0.000 0.000 0.000
Ag1 Ag 0.320 0.820 0.500
Ag2 Ag 0.680 0.180 0.500
Bi1 Bi 0.500 0.500 0.000
Se1 Se 0.081 0.072 0.550
Se2 Se 0.479 0.928 0.009
Se3 Se 0.521 0.530 0.450
Se4 Se 0.919 0.470 0.991
```

2.
This record from the Alexandria database describes a relaxed structure of AcSiAgBi. The functional is PBE-GGA.

Results
magnetic moment = 0.00 μB per cell
volume = 26.823 Å³/atom
energy = -4.19 eV per atom

Structure (CIF):
```
data_AcSiAgBi
_chemical_formula_sum 'Ac1 Si1 Ag1 Bi1'
_space_group_name_H-M_alt 'P 1'
_space_group_IT_number 1
_cell_length_a 5.334
_cell_length_b 5.334
_cell_length_c 5.334
_cell_angle_alpha 60.00
_cell_angle_beta 60.00
_cell_angle_gamma 60.00
loop_
_space_group_symop_operation_xyz
'x,y,z'
loop_
_atom_site_label
_atom_site_type_symbol
_atom_site_fract_x
_atom_site_fract_y
_atom_site_fract_z
Ac1 Ac 0.000 0.000 0.000
Si1 Si 0.750 0.750 0.750
Ag1 Ag 0.250 0.250 0.250
Bi1 Bi 0.500 0.500 0.500
```